[1]
A plane-wave DFT calculation with PBE was carried out for GdGa2Si after structural relaxation.

Calculated values
**Density of states at the Fermi level**: 0.74 states/eV per atom
**Formation energy (no corrections)**: -0.279 eV per atom
**Mass density**: 6.62 g/cm³
**ΔE to the lowest computed polymorph**: 0.158 eV per atom

Cell: 4.3180 4.3180 15.1258 Å, 90.00 90.00 120.00°
Space group R-3m (No. 166, hexagonal axes)
Unique sites:
Gd (0.0000, 0.0000, 0.0000) [3 per cell]
Ga (0.0000, 0.0000, 0.2181) [6 per cell]
Si (0.0000, 0.0000, 0.5000) [3 per cell]

[2]
A plane-wave DFT calculation with PBE was carried out for SmGdGaSi after structural relaxation.

Calculated values
**Density of states at the Fermi level**: 0.57 states/eV per atom
**Formation energy (no corrections)**: -0.500 eV per atom
**Mass density**: 7.21 g/cm³

Cell: 7.2029 7.2029 7.2029 Å, 90.00 90.00 90.00°
Space group F-43m (No. 216)
Unique sites:
Sm (0.0000, 0.0000, 0.0000) [4 per cell]
Gd (0.0000, 0.0000, 0.5000) [4 per cell]
Ga (0.2500, 0.2500, 0.7500) [4 per cell]
Si (0.2500, 0.2500, 0.2500) [4 per cell]

[3]
A plane-wave DFT calculation with PBE was carried out for TbSmGdGa after structural relaxation.

Calculated values
**Density of states at the Fermi level**: 1.25 states/eV per atom
**Mass density**: 8.11 g/cm³
**ΔE_f**: -9 kJ per mole of atoms

Cell: 7.6013 7.6013 7.6013 Å, 90.00 90.00 90.00°
Space group F-43m (No. 216)
Unique sites:
Tb (0.0000, 0.0000, 0.0000) [4 per cell]
Sm (0.2500, 0.2500, 0.7500) [4 per cell]
Gd (0.2500, 0.2500, 0.2500) [4 per cell]
Ga (0.0000, 0.0000, 0.5000) [4 per cell]

[4]
A plane-wave DFT calculation with PBE was carried out for SmGdTlGa after structural relaxation.

Calculated values
**Density of states at the Fermi level**: 0.71 states/eV per atom
**Mass density**: 9.17 g/cm³
**ΔE_f**: -43 kJ per mole of atoms

Cell: 7.4976 7.4976 7.4976 Å, 90.00 90.00 90.00°
Space group F-43m (No. 216)
Unique sites:
Sm (0.0000, 0.0000, 0.0000) [4 per cell]
Gd (0.0000, 0.0000, 0.5000) [4 per cell]
Tl (0.2500, 0.2500, 0.2500) [4 per cell]
Ga (0.2500, 0.2500, 0.7500) [4 per cell]